# PBE-GGA BeBSb2I, relaxed
data_BeBSb2I
_cell_length_a 4.923
_cell_length_b 4.923
_cell_length_c 4.782
_cell_angle_alpha 90.00
_cell_angle_beta 90.00
_cell_angle_gamma 90.00
_space_group_name_H-M_alt 'P 1'
_space_group_IT_number 1
loop_
_space_group_symop_operation_xyz
'x,y,z'
loop_
_atom_site_label
_atom_site_type_symbol
_atom_site_fract_x
_atom_site_fract_y
_atom_site_fract_z
Be1 Be 0.000 0.000 0.000
B1 B 0.500 0.500 0.500
Sb1 Sb 0.000 0.500 0.500
Sb2 Sb 0.500 0.000 0.500
I1 I 0.500 0.500 0.000
# E_form (uncorrected), eV/atom: 1.21
# Space group: P4/mmm (123)
# Energy above the most stable polymorph in this dataset, kJ/mol of atoms: 0.0